The following is a PBE calculation of crystalline Pu2Zr3N4 at its relaxed geometry, from Alexandria.

It has space group C2/m (No. 12), with a = 11.035 Å, b = 3.277 Å, c = 8.271 Å, α = 90.00°, β = 117.33° and γ = 90.00°. The inequivalent atoms are Pu at (0.098, 0.000, 0.396), Zr at (0.000, 0.500, 0.000), Zr at (0.214, 0.500, 0.820), N at (0.106, 0.000, 0.908) and N at (0.196, 0.500, 0.288).

The mass density is 10.22 g/cm³. The size of the total moment comes out at 10.86 μB/f.u. The value obtained for the formation energy without anion corrections is -12.0 eV per formula unit.